The following is a DFT calculation (GGA-PBEsol) of La3YSc4O12 after structural relaxation.

Computed properties:
Raw formation energy: -3576 meV/atom
Space group: Pm

a = 5.582 Å, b = 8.005 Å, c = 5.756 Å
α = 90.00°, β = 90.03°, γ = 90.00°
Atoms (fractional coordinates):
La  0.000  0.000  0.000
La  0.025  0.500  0.101
La  0.526  0.000  0.507
Y  0.494  0.500  0.611
Sc  0.013  0.254  0.551
Sc  0.013  0.746  0.551
Sc  0.516  0.253  0.054
Sc  0.516  0.747  0.054
O  0.113  0.000  0.582
O  0.223  0.309  0.844
O  0.223  0.691  0.844
O  0.321  0.315  0.359
O  0.321  0.685  0.359
O  0.414  0.000  0.089
O  0.618  0.500  0.996
O  0.719  0.194  0.756
O  0.719  0.806  0.756
O  0.820  0.200  0.249
O  0.820  0.800  0.249
O  0.883  0.500  0.515


The following is a DFT calculation (GGA-PBEsol) of MgAl3Re after structural relaxation.

Computed properties:
Energy relative to the elements: 0.322 eV/atom
Space group: Pm-3m

a = 4.762 Å, b = 4.762 Å, c = 4.762 Å
α = 90.00°, β = 90.00°, γ = 90.00°
Atoms (fractional coordinates):
Mg  0.000  0.000  0.000
Al  0.000  0.500  0.500
Al  0.500  0.000  0.500
Al  0.500  0.500  0.000
Re  0.500  0.500  0.500


The following is a DFT calculation (GGA-PBEsol) of NaSm8Se12 after structural relaxation.

Computed properties:
Raw formation energy: -1869 meV/atom
Space group: I-42d

a = 14.465 Å, b = 14.465 Å, c = 14.465 Å
α = 144.99°, β = 144.99°, γ = 50.36°
Atoms (fractional coordinates):
Na  0.000  0.000  0.000
Na  0.750  0.250  0.500
Sm  0.037  0.662  0.119
Sm  0.082  0.963  0.625
Sm  0.083  0.583  0.500
Sm  0.206  0.588  0.875
Sm  0.333  0.333  0.000
Sm  0.338  0.456  0.375
Sm  0.375  0.005  0.130
Sm  0.412  0.287  0.619
Sm  0.417  0.917  0.500
Sm  0.544  0.918  0.881
Sm  0.667  0.667  0.000
Sm  0.668  0.794  0.381
Sm  0.713  0.332  0.125
Sm  0.755  0.625  0.630
Sm  0.875  0.245  0.870
Sm  0.995  0.125  0.370
Se  0.009  0.609  0.252
Se  0.029  0.924  0.747
Se  0.032  0.427  0.753
Se  0.060  0.312  0.904
Se  0.062  0.310  0.404
Se  0.076  0.823  0.105
Se  0.177  0.282  0.253
Se  0.243  0.991  0.600
Se  0.342  0.938  0.248
Se  0.357  0.757  0.748
Se  0.359  0.259  0.752
Se  0.391  0.643  0.400
Se  0.393  0.641  0.900
Se  0.408  0.156  0.096
Se  0.507  0.607  0.248
Se  0.573  0.326  0.605
Se  0.674  0.279  0.247
Se  0.688  0.592  0.748
Se  0.690  0.094  0.752
Se  0.718  0.971  0.895
Se  0.721  0.968  0.395
Se  0.741  0.493  0.100
Se  0.844  0.940  0.252
Se  0.906  0.658  0.596


| no. | N(E_F) (states/eV/cell) | total DFT energy (no corrections) (eV/atom) |
| --- | --- | --- |
| 1 | 0.00 | -9.190 |
| 2 | 1.49 | -5.143 |
| 3 | 12.43 | -6.076 |